(1)
A plane-wave DFT calculation with PBE was carried out for crystalline AcTbAlCu at its relaxed geometry.

Calculated values
* crystal system: cubic
* N(E_F): 4.0 states/eV/f.u.
* ΔE_f: -57 kJ/mol of formula units

a b c (Å): 7.5005 7.5005 7.5005
angles (deg): 90.00 90.00 90.00
Space group F-43m (No. 216)
Asymmetric unit:
Ac 0.0000 0.0000 0.0000 (multiplicity 4)
Tb 0.0000 0.0000 0.5000 (multiplicity 4)
Al 0.2500 0.2500 0.7500 (multiplicity 4)
Cu 0.2500 0.2500 0.2500 (multiplicity 4)

***

(2)
A plane-wave DFT calculation with PBE was carried out for crystalline AcThAlCu at its relaxed geometry.

Calculated values
* crystal system: cubic
* N(E_F): 4.1 states/eV/f.u.
* ΔE_f: -21 kJ/mol of formula units

a b c (Å): 7.5307 7.5307 7.5307
angles (deg): 90.00 90.00 90.00
Space group F-43m (No. 216)
Asymmetric unit:
Ac 0.0000 0.0000 0.0000 (multiplicity 4)
Th 0.0000 0.0000 0.5000 (multiplicity 4)
Al 0.2500 0.2500 0.2500 (multiplicity 4)
Cu 0.2500 0.2500 0.7500 (multiplicity 4)

***

(3)
A plane-wave DFT calculation with PBE was carried out for crystalline AcTmAlCu at its relaxed geometry.

Calculated values
* crystal system: cubic
* N(E_F): 3.7 states/eV/f.u.
* ΔE_f: -56 kJ/mol of formula units

a b c (Å): 7.4477 7.4477 7.4477
angles (deg): 90.00 90.00 90.00
Space group F-43m (No. 216)
Asymmetric unit:
Ac 0.0000 0.0000 0.0000 (multiplicity 4)
Tm 0.0000 0.0000 0.5000 (multiplicity 4)
Al 0.2500 0.2500 0.2500 (multiplicity 4)
Cu 0.2500 0.2500 0.7500 (multiplicity 4)

***

(4)
A plane-wave DFT calculation with PBE was carried out for crystalline AcYAlCu at its relaxed geometry.

Calculated values
* crystal system: cubic
* N(E_F): 3.9 states/eV/f.u.
* ΔE_f: -61 kJ/mol of formula units

a b c (Å): 7.5025 7.5025 7.5025
angles (deg): 90.00 90.00 90.00
Space group F-43m (No. 216)
Asymmetric unit:
Ac 0.0000 0.0000 0.0000 (multiplicity 4)
Y 0.0000 0.0000 0.5000 (multiplicity 4)
Al 0.2500 0.2500 0.2500 (multiplicity 4)
Cu 0.2500 0.2500 0.7500 (multiplicity 4)

***

(5)
A plane-wave DFT calculation with PBE was carried out for crystalline AcAlZnCu6 at its relaxed geometry.

Calculated values
* crystal system: orthorhombic
* N(E_F): 3.9 states/eV/f.u.
* ΔE_f: 153 kJ/mol of formula units

a b c (Å): 5.1312 8.5088 14.8050
angles (deg): 90.00 90.00 90.00
Space group Imma (No. 74)
Asymmetric unit:
Ac 0.0000 0.2500 0.0674 (multiplicity 4)
Al 0.2500 0.2500 0.7500 (multiplicity 4)
Zn 0.0000 0.0000 0.5000 (multiplicity 4)
Cu 0.0000 0.2500 0.2771 (multiplicity 4)
Cu 0.0000 0.2500 0.8823 (multiplicity 4)
Cu 0.2371 0.0043 0.6625 (multiplicity 16)

***

(6)
A plane-wave DFT calculation with PBE was carried out for crystalline AcAl2ZnCu4 at its relaxed geometry.

Calculated values
* crystal system: trigonal
* N(E_F): 3.7 states/eV/f.u.
* ΔE_f: -161 kJ/mol of formula units

a b c (Å): 4.2074 4.2074 27.1568
angles (deg): 90.00 90.00 120.00
Space group R-3m (No. 166, hexagonal axes)
Asymmetric unit:
Ac 0.0000 0.0000 0.0000 (multiplicity 3)
Al 0.0000 0.0000 0.2347 (multiplicity 6)
Zn 0.0000 0.0000 0.5000 (multiplicity 3)
Cu 0.0000 0.0000 0.1342 (multiplicity 6)
Cu 0.0000 0.0000 0.4102 (multiplicity 6)

***

(7)
A plane-wave DFT calculation with PBE was carried out for crystalline AcAlZn4Cu2 at its relaxed geometry.

Calculated values
* crystal system: trigonal
* N(E_F): 3.0 states/eV/f.u.
* ΔE_f: -96 kJ/mol of formula units

a b c (Å): 4.2471 4.2471 28.3938
angles (deg): 90.00 90.00 120.00
Space group R-3m (No. 166, hexagonal axes)
Asymmetric unit:
Ac 0.0000 0.0000 0.0000 (multiplicity 3)
Al 0.0000 0.0000 0.5000 (multiplicity 3)
Zn 0.0000 0.0000 0.1241 (multiplicity 6)
Zn 0.0000 0.0000 0.4078 (multiplicity 6)
Cu 0.0000 0.0000 0.2278 (multiplicity 6)

***

(8)
A plane-wave DFT calculation with PBE was carried out for crystalline AcAlZn3Cu at its relaxed geometry.

Calculated values
* crystal system: orthorhombic
* N(E_F): 2.4 states/eV/f.u.
* ΔE_f: -62 kJ/mol of formula units

a b c (Å): 6.3349 12.2956 6.3154
angles (deg): 90.00 90.00 90.00
Space group Cmcm (No. 63)
Asymmetric unit:
Ac 0.0000 0.2293 0.2500 (multiplicity 4)
Al 0.0000 0.1320 0.7500 (multiplicity 4)
Zn 0.0000 0.3430 0.7500 (multiplicity 4)
Zn 0.2114 0.0000 0.0000 (multiplicity 8)
Cu 0.0000 0.4660 0.2500 (multiplicity 4)

***

In eV per atom, the calculated total energy values for the records above are, in order, -4.292, -4.895, -4.250, -4.762, -3.568, -3.866, -2.767, -2.736.